# 1
Compound: Dy2Ga8Ir
Source: OQMD
Functional: PBE
Structure: relaxed

Cell and atoms, written as CIF:
```
data_Dy2Ga8Ir
_cell_length_a 4.306
_cell_length_b 4.306
_cell_length_c 11.149
_cell_angle_alpha 90.00
_cell_angle_beta 90.00
_cell_angle_gamma 90.00
_space_group_name_H-M_alt 'P 4/m m m'
_space_group_IT_number 123
_space_group_name_Hall '-P 4 2'
loop_
_atom_site_label
_atom_site_fract_x
_atom_site_fract_y
_atom_site_fract_z
Dy1 0.000 0.000 0.192
Ga1 0.000 0.500 0.000
Ga2 0.000 0.500 0.376
Ga3 0.500 0.500 0.196
Ir1 0.000 0.000 0.500
```

Calculated values
The final energy comes out at -48.30 eV/cell. The calculation puts the size of the total moment at 0.0 μB per formula unit. The crystal system is tetragonal.

# 2
Compound: HoMoAu
Source: OQMD
Functional: PBE
Structure: relaxed

Cell and atoms, written as CIF:
```
data_HoMoAu
_cell_length_a 6.602
_cell_length_b 6.602
_cell_length_c 6.602
_cell_angle_alpha 90.00
_cell_angle_beta 90.00
_cell_angle_gamma 90.00
_space_group_name_H-M_alt 'F -4 3 m'
_space_group_IT_number 216
_space_group_name_Hall 'F -4 2 3'
loop_
_atom_site_label
_atom_site_fract_x
_atom_site_fract_y
_atom_site_fract_z
Ho1 0.000 0.000 0.000
Mo1 0.250 0.250 0.250
Au1 0.250 0.250 0.750
```

Calculated values
Its formation enthalpy at 0 K is 0.831 eV per atom. The calculation puts the energy above the most stable polymorph in this dataset at 0.203 eV per atom. The final energy comes out at -64.80 eV/cell. The calculation puts the size of the total moment at 3.0 μB per formula unit. The crystal system is cubic.

# 3
Compound: KErTe3As
Source: OQMD
Functional: PBE
Structure: relaxed

Cell and atoms, written as CIF:
```
data_KErTe3As
_cell_length_a 4.407
_cell_length_b 16.707
_cell_length_c 11.172
_cell_angle_alpha 90.00
_cell_angle_beta 90.00
_cell_angle_gamma 90.00
_space_group_name_H-M_alt 'C m c m'
_space_group_IT_number 63
_space_group_name_Hall '-C 2c 2'
loop_
_atom_site_label
_atom_site_fract_x
_atom_site_fract_y
_atom_site_fract_z
K1 0.000 0.237 0.250
Er1 0.000 0.000 0.000
Te1 0.000 0.091 0.750
Te2 0.000 0.371 0.542
As1 0.000 0.458 0.750
```

Calculated values
The final energy comes out at -95.65 eV/cell. The calculation puts the size of the total moment at 0.2 μB per formula unit. The crystal system is orthorhombic.

# 4
Compound: GeB2Au2
Source: OQMD
Functional: PBE
Structure: relaxed

Cell and atoms, written as CIF:
```
data_GeB2Au2
_cell_length_a 3.203
_cell_length_b 3.203
_cell_length_c 13.876
_cell_angle_alpha 90.00
_cell_angle_beta 90.00
_cell_angle_gamma 90.00
_space_group_name_H-M_alt 'I 4/m m m'
_space_group_IT_number 139
_space_group_name_Hall '-I 4 2'
loop_
_atom_site_label
_atom_site_fract_x
_atom_site_fract_y
_atom_site_fract_z
Ge1 0.000 0.000 0.000
B1 0.000 0.500 0.250
Au1 0.000 0.000 0.364
```

Calculated values
The calculation puts the energy above the most stable polymorph in this dataset at 0.121 eV per atom. The final energy comes out at -41.72 eV/cell. The crystal system is tetragonal.

# 5
Compound: Y4SiNiC2
Source: OQMD
Functional: PBE
Structure: relaxed

Cell and atoms, written as CIF:
```
data_Y4SiNiC2
_cell_length_a 3.6084
_cell_length_b 3.6084
_cell_length_c 14.1106
_cell_angle_alpha 90.00
_cell_angle_beta 90.00
_cell_angle_gamma 120.00
_space_group_name_H-M_alt 'P -6 m 2'
_space_group_IT_number 187
_space_group_name_Hall 'P -6 2'
loop_
_atom_site_label
_atom_site_fract_x
_atom_site_fract_y
_atom_site_fract_z
Y1 0.0000 0.0000 0.1432
Y2 0.6667 0.3333 0.3364
Si1 0.0000 0.0000 0.5000
Ni1 0.6667 0.3333 0.0000
C1 0.3333 0.6667 0.2395
```

Calculated values
The final energy comes out at -57.34 eV/cell. The calculation puts the size of the total moment at 0.1 μB per formula unit. The crystal system is hexagonal.

# 6
Compound: SrCoAgTe3
Source: OQMD
Functional: PBE
Structure: relaxed

Cell and atoms, written as CIF:
```
data_SrCoAgTe3
_cell_length_a 4.125
_cell_length_b 14.005
_cell_length_c 10.824
_cell_angle_alpha 90.00
_cell_angle_beta 90.00
_cell_angle_gamma 90.00
_space_group_name_H-M_alt 'C m c m'
_space_group_IT_number 63
_space_group_name_Hall '-C 2c 2'
loop_
_atom_site_label
_atom_site_fract_x
_atom_site_fract_y
_atom_site_fract_z
Sr1 0.000 0.231 0.250
Co1 0.000 0.000 0.000
Ag1 0.000 0.450 0.750
Te1 0.000 0.080 0.750
Te2 0.000 0.377 0.517
```

Calculated values
The calculation puts the energy above the most stable polymorph in this dataset at 0.117 eV per atom. The final energy comes out at -93.41 eV/cell. The calculation puts the size of the total moment at 0.3 μB per formula unit. The crystal system is orthorhombic.

# 7
Compound: DyReNO
Source: OQMD
Functional: PBE
Structure: relaxed

Cell and atoms, written as CIF:
```
data_DyReNO
_cell_length_a 3.239
_cell_length_b 5.631
_cell_length_c 6.256
_cell_angle_alpha 90.00
_cell_angle_beta 90.00
_cell_angle_gamma 90.00
_space_group_name_H-M_alt 'P m c 21'
_space_group_IT_number 26
_space_group_name_Hall 'P 2c -2'
loop_
_atom_site_label
_atom_site_fract_x
_atom_site_fract_y
_atom_site_fract_z
Dy1 0.000 0.173 0.000
Re1 0.500 0.328 0.455
N1 0.500 0.418 0.172
O1 0.000 0.182 0.648
```

Calculated values
The calculation puts the energy above the most stable polymorph in this dataset at 0.555 eV per atom. The final energy comes out at -68.57 eV/cell. The calculation puts the size of the total moment at 0.0 μB per formula unit. The crystal system is orthorhombic.

# 8
Compound: LaPrZn4
Source: OQMD
Functional: PBE
Structure: relaxed

Cell and atoms, written as CIF:
```
data_LaPrZn4
_cell_length_a 4.630
_cell_length_b 7.428
_cell_length_c 7.695
_cell_angle_alpha 90.00
_cell_angle_beta 90.00
_cell_angle_gamma 90.00
_space_group_name_H-M_alt 'I m m 2'
_space_group_IT_number 44
_space_group_name_Hall 'I 2 -2'
loop_
_atom_site_label
_atom_site_fract_x
_atom_site_fract_y
_atom_site_fract_z
La1 0.000 0.000 0.000
Pr1 0.000 0.500 0.938
Zn1 0.000 0.198 0.633
Zn2 0.000 0.301 0.301
```

Calculated values
Its formation enthalpy at 0 K is -0.366 eV per atom. The calculation puts the energy above the most stable polymorph in this dataset at 0.001 eV per atom. The final energy comes out at -33.90 eV/cell. The calculation puts the size of the total moment at 0.0 μB per formula unit. The crystal system is orthorhombic.

# 9
Compound: Sm3Al2I2
Source: OQMD
Functional: PBE
Structure: relaxed

Cell and atoms, written as CIF:
```
data_Sm3Al2I2
_cell_length_a 19.303
_cell_length_b 4.238
_cell_length_c 12.082
_cell_angle_alpha 90.00
_cell_angle_beta 120.95
_cell_angle_gamma 90.00
_space_group_name_H-M_alt 'C 1 2/m 1'
_space_group_IT_number 12
_space_group_name_Hall '-C 2y'
loop_
_atom_site_label
_atom_site_fract_x
_atom_site_fract_y
_atom_site_fract_z
Sm1 0.034 0.000 0.186
Sm2 0.169 0.500 0.889
Sm3 0.244 0.500 0.297
Al1 0.073 0.500 0.029
Al2 0.163 0.000 0.084
I1 0.077 0.000 0.671
I2 0.142 0.500 0.437
```

Calculated values
The final energy comes out at -121.41 eV/cell. The calculation puts the size of the total moment at 0.4 μB per formula unit. The crystal system is monoclinic.

# 10
Compound: RbDyInSe3
Source: OQMD
Functional: PBE
Structure: relaxed

Cell and atoms, written as CIF:
```
data_RbDyInSe3
_cell_length_a 4.232
_cell_length_b 15.911
_cell_length_c 11.701
_cell_angle_alpha 90.00
_cell_angle_beta 90.00
_cell_angle_gamma 90.00
_space_group_name_H-M_alt 'C m c m'
_space_group_IT_number 63
_space_group_name_Hall '-C 2c 2'
loop_
_atom_site_label
_atom_site_fract_x
_atom_site_fract_y
_atom_site_fract_z
Rb1 0.000 0.218 0.250
Dy1 0.000 0.500 0.000
In1 0.000 0.082 0.750
Se1 0.000 0.123 0.520
Se2 0.000 0.469 0.750
```

Calculated values
The final energy comes out at -103.04 eV/cell. The calculation puts the size of the total moment at 0.0 μB per formula unit. The crystal system is orthorhombic.

# 11
Compound: DySnAuS3
Source: OQMD
Functional: PBE
Structure: relaxed

Cell and atoms, written as CIF:
```
data_DySnAuS3
_cell_length_a 10.280
_cell_length_b 4.059
_cell_length_c 14.336
_cell_angle_alpha 90.00
_cell_angle_beta 90.00
_cell_angle_gamma 90.00
_space_group_name_H-M_alt 'P n m a'
_space_group_IT_number 62
_space_group_name_Hall '-P 2ac 2n'
loop_
_atom_site_label
_atom_site_fract_x
_atom_site_fract_y
_atom_site_fract_z
Dy1 0.025 0.250 0.237
Sn1 0.238 0.750 0.441
Au1 0.234 0.250 0.599
S1 0.010 0.250 0.631
S2 0.039 0.750 0.111
S3 0.234 0.750 0.816
```

Calculated values
The calculation puts the energy above the most stable polymorph in this dataset at 0.000 eV per atom. The final energy comes out at -121.32 eV/cell. The calculation puts the size of the total moment at 0.0 μB per formula unit. The crystal system is orthorhombic.